The following is a SCAN calculation of a crystal of SrV3P4O17 relaxed with PBEsol, from Alexandria via LeMat-Bulk.

Uncorrected energy, eV per atom: -11.562
Energy relative to the elements, uncorrected, kJ per mole of atoms: -257.8

Unit cell a=7.479 b=10.088 c=16.354 alpha=90.00 beta=90.00 gamma=90.00
Fractional coordinates of all 100 atoms:
Sr 0.006 0.064 0.178
Sr 0.494 0.936 0.678
Sr 0.506 0.436 0.822
Sr 0.994 0.564 0.322
V 0.213 0.752 0.497
V 0.218 0.677 0.151
V 0.219 0.825 0.847
V 0.281 0.175 0.347
V 0.282 0.323 0.651
V 0.287 0.248 0.997
V 0.713 0.748 0.503
V 0.718 0.823 0.849
V 0.719 0.675 0.153
V 0.781 0.325 0.653
V 0.782 0.177 0.349
V 0.787 0.252 0.003
P 0.198 0.137 0.812
P 0.199 0.635 0.690
P 0.208 0.060 0.539
P 0.212 0.563 0.962
P 0.288 0.437 0.462
P 0.292 0.940 0.039
P 0.301 0.365 0.190
P 0.302 0.863 0.312
P 0.698 0.363 0.188
P 0.699 0.865 0.310
P 0.708 0.440 0.461
P 0.712 0.937 0.038
P 0.788 0.063 0.538
P 0.792 0.560 0.961
P 0.801 0.135 0.810
P 0.802 0.637 0.688
O 0.001 0.126 0.776
O 0.001 0.668 0.143
O 0.001 0.777 0.478
O 0.002 0.562 0.970
O 0.002 0.831 0.834
O 0.184 0.164 0.902
O 0.195 0.658 0.599
O 0.208 0.750 0.266
O 0.214 0.248 0.236
O 0.216 0.385 0.542
O 0.217 0.498 0.211
O 0.217 0.886 0.960
O 0.217 0.998 0.293
O 0.226 0.578 0.440
O 0.236 0.083 0.059
O 0.238 0.356 0.386
O 0.239 0.863 0.116
O 0.261 0.137 0.616
O 0.262 0.644 0.886
O 0.264 0.917 0.559
O 0.274 0.422 0.940
O 0.283 0.002 0.793
O 0.283 0.114 0.460
O 0.283 0.502 0.711
O 0.284 0.615 0.042
O 0.286 0.752 0.736
O 0.292 0.250 0.766
O 0.305 0.342 0.099
O 0.316 0.836 0.402
O 0.498 0.169 0.334
O 0.498 0.438 0.470
O 0.499 0.223 0.978
O 0.499 0.332 0.643
O 0.499 0.874 0.276
O 0.501 0.374 0.224
O 0.501 0.723 0.522
O 0.501 0.832 0.857
O 0.502 0.669 0.166
O 0.502 0.938 0.030
O 0.684 0.336 0.098
O 0.695 0.842 0.401
O 0.708 0.750 0.734
O 0.714 0.252 0.764
O 0.716 0.115 0.458
O 0.717 0.002 0.789
O 0.717 0.502 0.707
O 0.717 0.614 0.040
O 0.726 0.922 0.560
O 0.736 0.417 0.941
O 0.738 0.144 0.614
O 0.739 0.637 0.884
O 0.761 0.363 0.384
O 0.762 0.856 0.114
O 0.764 0.583 0.441
O 0.774 0.078 0.060
O 0.783 0.386 0.540
O 0.783 0.498 0.207
O 0.783 0.998 0.289
O 0.784 0.885 0.958
O 0.786 0.748 0.264
O 0.792 0.250 0.234
O 0.805 0.158 0.901
O 0.816 0.664 0.598
O 0.998 0.062 0.530
O 0.998 0.331 0.666
O 0.999 0.168 0.357
O 0.999 0.277 0.022
O 0.999 0.626 0.724